# SrYAl PBE relaxed
# **ΔH_f (0 K)**: -0.2115 eV per atom
# **D(E_F)**: 9.40 states/eV/cell
# **E above lowest polymorph**: 0 kJ/mol of formula units
# **Total magnetic moment**: 0.0 μB/f.u.
data_SrYAl
_chemical_formula_sum 'Sr4 Y4 Al4'
_cell_length_a 4.3576
_cell_length_b 23.0141
_cell_length_c 4.1941
_cell_angle_alpha 90.00
_cell_angle_beta 90.00
_cell_angle_gamma 90.00
_space_group_name_H-M_alt 'C m c m'
_space_group_IT_number 63
_space_group_name_Hall '-C 2c 2'
loop_
_atom_site_label
_atom_site_fract_x
_atom_site_fract_y
_atom_site_fract_z
Sr1 0.0000 0.1831 0.2500
Y1 0.0000 0.4341 0.2500
Al1 0.0000 0.0358 0.2500